A plane-wave DFT calculation with PBE with a Hubbard U was carried out for a geometry-optimized Ba2Fe2CuF14 structure.

For the density of states at the Fermi level, the calculation gives 0.02 states/eV per atom. Its raw total energy is -376.67 eV for the cell shown. The spin magnetization comes out at 0.471 μB per atom.

The space group is C2/c (No. 15) and the conventional cell measures 14.129, 5.550 and 14.740 Å, with angles of 90.00, 92.58 and 90.00 degrees. Symmetry generates all atoms from Ba at (0.193, 0.033, 0.128), Fe at (0.114, 0.006, 0.372), Cu at (0.000, 0.500, 0.000), F at (0.014, 0.004, 0.658), F at (0.056, 0.484, 0.110), F at (0.087, 0.234, 0.475), F at (0.092, 0.274, 0.963), F at (0.160, 0.259, 0.299), F at (0.162, 0.218, 0.788) and F at (0.235, 0.011, 0.941).